No. 1
{
  "formula": "Ho5ThIr6",
  "functional": "GGA-PBE",
  "state": "optimized geometry",
  "lattice_angstrom": [[2.400, -7.194, 0.000], [2.400, 7.194, 0.000], [0.000, 0.000, 7.104]],
  "species": ["Ho", "Ho", "Ho", "Ho", "Ho", "Th", "Ir", "Ir", "Ir", "Ir", "Ir", "Ir"],
  "frac_coords": [[0.000, 0.000, 0.000], [0.330, 0.670, 0.500], [0.332, 0.668, 0.000], [0.668, 0.332, 0.000], [0.670, 0.330, 0.500], [0.000, 0.000, 0.500], [0.166, 0.834, 0.248], [0.166, 0.834, 0.752], [0.500, 0.500, 0.247], [0.500, 0.500, 0.753], [0.834, 0.166, 0.248], [0.834, 0.166, 0.752]],
  "formation_energy_mev_per_atom": -844,
  "magmom_total_mub_per_fu": 0.00
}

No. 2
{
  "formula": "Ho2ThIr",
  "functional": "GGA-PBE",
  "state": "optimized geometry",
  "lattice_angstrom": [[7.157, 0.000, 0.000], [0.000, 9.596, 0.000], [0.000, 0.000, 6.436]],
  "species": ["Ho", "Ho", "Ho", "Ho", "Ho", "Ho", "Ho", "Ho", "Th", "Th", "Th", "Th", "Ir", "Ir", "Ir", "Ir"],
  "frac_coords": [[0.177, 0.066, 0.167], [0.177, 0.434, 0.167], [0.323, 0.566, 0.667], [0.323, 0.934, 0.667], [0.677, 0.066, 0.333], [0.677, 0.434, 0.333], [0.823, 0.566, 0.833], [0.823, 0.934, 0.833], [0.038, 0.250, 0.652], [0.462, 0.750, 0.152], [0.538, 0.250, 0.848], [0.962, 0.750, 0.348], [0.126, 0.750, 0.946], [0.374, 0.250, 0.446], [0.626, 0.750, 0.554], [0.874, 0.250, 0.054]],
  "relative_energy_ev_per_fu": 0.00,
  "formation_energy_mev_per_atom": -568,
  "magmom_total_mub_per_fu": 0.00
}

No. 3
{
  "formula": "HoTh3Ir8",
  "functional": "GGA-PBE",
  "state": "optimized geometry",
  "lattice_angstrom": [[2.715, 1.568, 8.873], [-2.715, 1.568, 8.873], [0.000, -3.135, 8.873]],
  "species": ["Ho", "Th", "Th", "Th", "Ir", "Ir", "Ir", "Ir", "Ir", "Ir", "Ir", "Ir"],
  "frac_coords": [[0.000, 0.000, 0.000], [0.372, 0.372, 0.372], [0.498, 0.498, 0.498], [0.876, 0.876, 0.876], [0.186, 0.186, 0.186], [0.436, 0.936, 0.936], [0.437, 0.437, 0.936], [0.437, 0.936, 0.437], [0.686, 0.686, 0.686], [0.936, 0.436, 0.936], [0.936, 0.437, 0.437], [0.936, 0.936, 0.436]],
  "formation_energy_mev_per_atom": -814,
  "magmom_total_mub_per_fu": 0.00
}

No. 4
{
  "formula": "HoThIr2",
  "functional": "GGA-PBE",
  "state": "optimized geometry",
  "lattice_angstrom": [[4.948, 0.000, 0.000], [0.000, 4.948, 0.000], [0.000, 0.000, 3.517]],
  "species": ["Ho", "Th", "Ir", "Ir"],
  "frac_coords": [[0.000, 0.000, 0.000], [0.500, 0.500, 0.000], [0.000, 0.500, 0.500], [0.500, 0.000, 0.500]],
  "relative_energy_ev_per_fu": 0.46,
  "formation_energy_mev_per_atom": -809,
  "magmom_total_mub_per_fu": 0.00
}

No. 5
{
  "formula": "HoThIr2",
  "functional": "GGA-PBE",
  "state": "optimized geometry",
  "lattice_angstrom": [[4.251, 0.000, 0.000], [0.000, 3.886, 0.000], [0.000, 0.000, 10.811]],
  "species": ["Ho", "Ho", "Th", "Th", "Ir", "Ir", "Ir", "Ir"],
  "frac_coords": [[0.000, 0.000, 0.000], [0.000, 0.500, 0.500], [0.500, 0.000, 0.718], [0.500, 0.500, 0.218], [0.000, 0.000, 0.271], [0.000, 0.500, 0.771], [0.500, 0.000, 0.452], [0.500, 0.500, 0.952]],
  "relative_energy_ev_per_fu": 0.00,
  "formation_energy_mev_per_atom": -924,
  "magmom_total_mub_per_fu": 0.00
}

No. 6
{
  "formula": "HoThIr",
  "functional": "GGA-PBE",
  "state": "optimized geometry",
  "lattice_angstrom": [[6.925, 0.000, 0.000], [0.000, 6.925, 0.000], [0.000, 0.000, 6.925]],
  "species": ["Ho", "Ho", "Ho", "Ho", "Th", "Th", "Th", "Th", "Ir", "Ir", "Ir", "Ir"],
  "frac_coords": [[0.000, 0.000, 0.000], [0.000, 0.500, 0.500], [0.500, 0.000, 0.500], [0.500, 0.500, 0.000], [0.000, 0.000, 0.500], [0.000, 0.500, 0.000], [0.500, 0.000, 0.000], [0.500, 0.500, 0.500], [0.250, 0.250, 0.750], [0.250, 0.750, 0.250], [0.750, 0.250, 0.250], [0.750, 0.750, 0.750]],
  "relative_energy_ev_per_fu": 0.21,
  "formation_energy_mev_per_atom": -599,
  "magmom_total_mub_per_fu": 0.00
}